An optimized crystal structure of InPd4Pt, computed with PBE.

Cell lengths 4.063, 11.673, 4.080 Å; angles 90.00, 90.00, 90.00 degrees
Space group Cmmm (No. 65)
Unique sites:
In1 0.000 0.000 0.000 [2 per cell]
Pd1 0.000 0.168 0.500 [4 per cell]
Pd2 0.000 0.333 0.000 [4 per cell]
Pt1 0.000 0.500 0.500 [2 per cell]

Calculated formation energy: -286 meV per atom
DFT total energy: -5.211 eV/atom
Energy above the lowest structure with this stoichiometry: 0 meV/atom